Tm2Al3Zn9: optimized geometry, PBE-GGA.

Unit cell a=7.670 b=7.670 c=9.255 alpha=90.00 beta=90.00 gamma=60.88
Fractional coordinates of all 28 atoms:
Tm1 0.003 0.324 0.250
Tm2 0.324 0.003 0.750
Tm3 0.676 0.997 0.250
Tm4 0.997 0.676 0.750
Al1 0.000 0.000 0.000
Al2 0.000 0.000 0.500
Al3 0.316 0.316 0.000
Al4 0.316 0.316 0.500
Al5 0.684 0.684 0.000
Al6 0.684 0.684 0.500
Zn1 0.021 0.659 0.089
Zn2 0.021 0.659 0.411
Zn3 0.139 0.861 0.250
Zn4 0.337 0.663 0.568
Zn5 0.337 0.663 0.932
Zn6 0.341 0.979 0.089
Zn7 0.341 0.979 0.411
Zn8 0.350 0.454 0.250
Zn9 0.454 0.350 0.750
Zn10 0.546 0.650 0.250
Zn11 0.650 0.546 0.750
Zn12 0.659 0.021 0.589
Zn13 0.659 0.021 0.911
Zn14 0.663 0.337 0.068
Zn15 0.663 0.337 0.432
Zn16 0.861 0.139 0.750
Zn17 0.979 0.341 0.589
Zn18 0.979 0.341 0.911

- Space group: Cmcm (63)
- Spin magnetization: 0.000 μB per atom
- Calculated formation energy: -0.23 eV/atom

Tm4AlZn2: optimized geometry, PBE-GGA.

Unit cell a=8.484 b=8.484 c=8.484 alpha=33.86 beta=33.86 gamma=33.86
Fractional coordinates of all 7 atoms:
Tm1 0.119 0.119 0.119
Tm2 0.371 0.371 0.371
Tm3 0.629 0.629 0.629
Tm4 0.881 0.881 0.881
Al1 0.500 0.500 0.500
Zn1 0.246 0.246 0.246
Zn2 0.754 0.754 0.754

- Space group: R-3m (166)
- Spin magnetization: 0.000 μB per atom
- Polymorph energy (0 for the lowest one): 0 meV per atom
- Calculated formation energy: -0.21 eV/atom

Tm6AlZn2: optimized geometry, PBE-GGA.

Unit cell a=8.404 b=8.404 c=8.404 alpha=111.11 beta=109.24 gamma=108.07
Fractional coordinates of all 18 atoms:
Tm1 0.040 0.820 0.219
Tm2 0.244 0.542 0.298
Tm3 0.244 0.946 0.702
Tm4 0.267 0.319 0.586
Tm5 0.267 0.681 0.948
Tm6 0.399 0.180 0.219
Tm7 0.601 0.820 0.781
Tm8 0.733 0.319 0.052
Tm9 0.733 0.681 0.414
Tm10 0.756 0.054 0.298
Tm11 0.756 0.458 0.702
Tm12 0.960 0.180 0.781
Al1 0.000 0.500 0.500
Al2 0.500 0.000 0.500
Zn1 0.000 0.137 0.137
Zn2 0.000 0.863 0.863
Zn3 0.373 0.373 0.000
Zn4 0.627 0.627 0.000

- Space group: Immm (71)
- Spin magnetization: 0.000 μB per atom
- Polymorph energy (0 for the lowest one): 0 meV per atom
- Calculated formation energy: -0.23 eV/atom

TmAlZn: optimized geometry, PBE-GGA.

Unit cell a=4.468 b=4.468 c=3.460 alpha=90.00 beta=90.00 gamma=120.00
Fractional coordinates of all 3 atoms:
Tm1 0.000 0.000 0.000
Al1 0.333 0.667 0.500
Zn1 0.667 0.333 0.500

- Space group: P-6m2 (187)
- Spin magnetization: 0.000 μB per atom
- Calculated formation energy: -0.45 eV/atom

Tm2AlZn16: optimized geometry, PBE-GGA.

Unit cell a=6.772 b=6.772 c=6.772 alpha=82.77 beta=82.77 gamma=82.77
Fractional coordinates of all 19 atoms:
Tm1 0.000 0.000 0.000
Tm2 0.330 0.330 0.330
Al1 0.762 0.762 0.762
Zn1 0.017 0.017 0.501
Zn2 0.017 0.501 0.017
Zn3 0.167 0.664 0.664
Zn4 0.312 0.312 0.830
Zn5 0.312 0.830 0.312
Zn6 0.363 0.665 0.967
Zn7 0.363 0.967 0.665
Zn8 0.501 0.017 0.017
Zn9 0.564 0.564 0.564
Zn10 0.664 0.167 0.664
Zn11 0.664 0.664 0.167
Zn12 0.665 0.363 0.967
Zn13 0.665 0.967 0.363
Zn14 0.830 0.312 0.312
Zn15 0.967 0.363 0.665
Zn16 0.967 0.665 0.363

- Space group: R3m (160)
- Spin magnetization: 0.000 μB per atom
- Calculated formation energy: -0.21 eV/atom

TmAlZn2: optimized geometry, PBE-GGA.

Unit cell a=5.303 b=9.152 c=3.279 alpha=90.00 beta=90.00 gamma=90.00
Fractional coordinates of all 8 atoms:
Tm1 0.000 0.000 0.000
Tm2 0.500 0.500 0.000
Al1 0.000 0.500 0.500
Al2 0.500 0.000 0.500
Zn1 0.250 0.250 0.500
Zn2 0.250 0.750 0.500
Zn3 0.750 0.250 0.500
Zn4 0.750 0.750 0.500

- Space group: Cmmm (65)
- Spin magnetization: 0.000 μB per atom
- Calculated formation energy: -0.19 eV/atom

TmZr3Al8: optimized geometry, PBE-GGA.

Unit cell a=9.300 b=9.300 c=9.300 alpha=33.54 beta=33.54 gamma=33.54
Fractional coordinates of all 12 atoms:
Tm1 0.000 0.000 0.000
Zr1 0.377 0.377 0.377
Zr2 0.500 0.500 0.500
Zr3 0.874 0.874 0.874
Al1 0.188 0.188 0.188
Al2 0.437 0.437 0.936
Al3 0.437 0.936 0.437
Al4 0.440 0.938 0.938
Al5 0.688 0.688 0.688
Al6 0.936 0.437 0.437
Al7 0.938 0.440 0.938
Al8 0.938 0.938 0.440

- Space group: R3m (160)
- Spin magnetization: 0.000 μB per atom
- Polymorph energy (0 for the lowest one): 0 meV per atom
- Calculated formation energy: -0.52 eV/atom

TmZr3Al8: optimized geometry, PBE-GGA.

Unit cell a=5.339 b=5.339 c=8.854 alpha=90.00 beta=90.00 gamma=120.00
Fractional coordinates of all 12 atoms:
Tm1 0.000 0.000 0.000
Zr1 0.000 0.000 0.370
Zr2 0.667 0.333 0.500
Zr3 0.667 0.333 0.863
Al1 0.163 0.325 0.681
Al2 0.163 0.837 0.681
Al3 0.333 0.667 0.435
Al4 0.333 0.667 0.934
Al5 0.504 0.008 0.189
Al6 0.504 0.496 0.189
Al7 0.675 0.837 0.681
Al8 0.992 0.496 0.189

- Space group: P3m1 (156)
- Spin magnetization: 0.000 μB per atom
- Polymorph energy (0 for the lowest one): 4 meV per atom
- Calculated formation energy: -0.52 eV/atom